1.
This record from Alexandria describes a relaxed structure of TbTiSi. The functional is PBEsol.

The structure in extended XYZ format:
```
6
Lattice="3.999 0.000 0.000 0.000 3.999 0.000 0.000 0.000 7.501" Properties=species:S:1:pos:R:3 pbc="T T T"
Tb 1.000 1.000 1.159
Tb 3.000 3.000 6.342
Ti 1.000 3.000 3.750
Ti 3.000 1.000 3.750
Si 1.000 1.000 5.519
Si 3.000 3.000 1.982
```

E_tot: -42.2 eV per cell
Formation energy from raw total energies: -0.675 eV/atom

=====

2.
This record from Alexandria describes a relaxed structure of TbZnSi. The functional is PBEsol.

The structure in extended XYZ format:
```
3
Lattice="4.064 0.000 0.000 -2.032 3.520 0.000 0.000 0.000 4.001" Properties=species:S:1:pos:R:3 pbc="T T T"
Tb 0.000 0.000 0.000
Zn 2.032 1.173 2.001
Si 0.000 2.346 2.001
```

E_tot: -14.4 eV per cell
Formation energy from raw total energies: -0.686 eV/atom

=====

3.
This record from Alexandria describes a relaxed structure of SiTc5. The functional is PBEsol.

The structure in extended XYZ format:
```
6
Lattice="4.718 -1.433 0.000 4.718 1.433 0.000 -2.283 0.000 6.014" Properties=species:S:1:pos:R:3 pbc="T T T"
Si 0.000 0.000 0.000
Tc -1.142 0.000 3.007
Tc 1.531 0.000 4.106
Tc 2.950 0.000 0.914
Tc 4.203 0.000 5.100
Tc 5.622 0.000 1.908
```

ΔE to the lowest computed polymorph: 0.0 meV per atom
E_tot: -63.2 eV per cell
Formation energy from raw total energies: -0.182 eV/atom

=====

4.
This record from Alexandria describes a relaxed structure of SiTc. The functional is PBEsol.

The structure in extended XYZ format:
```
8
Lattice="4.726 0.000 0.000 0.000 4.726 0.000 0.000 0.000 4.726" Properties=species:S:1:pos:R:3 pbc="T T T"
Si 0.732 1.631 3.095
Si 1.631 3.095 0.732
Si 3.095 0.732 1.631
Si 3.994 3.994 3.994
Tc 0.642 0.642 0.642
Tc 1.721 4.084 3.005
Tc 3.005 1.721 4.084
Tc 4.084 3.005 1.721
```

ΔE to the lowest computed polymorph: 0.0 meV per atom
E_tot: -72.8 eV per cell
Formation energy from raw total energies: -0.588 eV/atom

=====

5.
This record from Alexandria describes a relaxed structure of SiTc. The functional is PBEsol.

The structure in extended XYZ format:
```
2
Lattice="2.941 0.000 0.000 0.000 2.941 0.000 0.000 0.000 2.941" Properties=species:S:1:pos:R:3 pbc="T T T"
Si 0.000 0.000 0.000
Tc 1.471 1.471 1.471
```

ΔE to the lowest computed polymorph: 78.8 meV per atom
E_tot: -18.0 eV per cell
Formation energy from raw total energies: -0.509 eV/atom

=====

6.
This record from Alexandria describes a relaxed structure of SiTc. The functional is PBEsol.

The structure in extended XYZ format:
```
4
Lattice="3.731 0.000 0.000 -1.866 3.231 0.000 0.000 0.000 4.751" Properties=species:S:1:pos:R:3 pbc="T T T"
Si 0.000 0.000 0.000
Si 0.000 0.000 2.376
Tc 0.000 2.154 1.188
Tc 1.866 1.077 3.563
```

ΔE to the lowest computed polymorph: 504.6 meV per atom
E_tot: -34.4 eV per cell
Formation energy from raw total energies: -0.083 eV/atom

=====

7.
This record from Alexandria describes a relaxed structure of SiTc2. The functional is PBEsol.

The structure in extended XYZ format:
```
6
Lattice="1.467 -6.348 0.000 1.467 6.348 0.000 0.000 0.000 4.220" Properties=species:S:1:pos:R:3 pbc="T T T"
Si 1.467 5.395 3.165
Si 1.467 -5.395 1.055
Tc 1.467 3.005 1.055
Tc 1.467 1.110 3.165
Tc 1.467 -1.110 1.055
Tc 1.467 -3.005 3.165
```

ΔE to the lowest computed polymorph: 86.9 meV per atom
E_tot: -58.8 eV per cell
Formation energy from raw total energies: -0.377 eV/atom

=====

8.
This record from Alexandria describes a relaxed structure of SiTc2. The functional is PBEsol.

The structure in extended XYZ format:
```
6
Lattice="4.339 0.000 0.000 -2.170 3.758 0.000 0.000 0.000 4.930" Properties=species:S:1:pos:R:3 pbc="T T T"
Si 0.000 2.505 1.232
Si 2.170 1.253 3.697
Tc 0.000 0.000 0.000
Tc 0.000 0.000 2.465
Tc 0.000 2.505 3.697
Tc 2.170 1.253 1.232
```

ΔE to the lowest computed polymorph: 341.9 meV per atom
E_tot: -57.3 eV per cell
Formation energy from raw total energies: -0.122 eV/atom

=====

9.
This record from Alexandria describes a relaxed structure of SiTc. The functional is PBEsol.

The structure in extended XYZ format:
```
2
Lattice="3.142 0.000 0.000 -1.571 2.721 0.000 0.000 0.000 3.222" Properties=species:S:1:pos:R:3 pbc="T T T"
Si 0.000 0.000 0.000
Tc 0.000 1.814 1.611
```

ΔE to the lowest computed polymorph: 65.5 meV per atom
E_tot: -18.1 eV per cell
Formation energy from raw total energies: -0.522 eV/atom

=====

10.
This record from Alexandria describes a relaxed structure of SiTc5. The functional is PBEsol.

The structure in extended XYZ format:
```
6
Lattice="4.320 0.000 0.000 0.000 1.391 6.822 0.000 -1.391 6.822" Properties=species:S:1:pos:R:3 pbc="T T T"
Si 0.000 0.000 0.000
Tc 0.000 0.000 4.490
Tc 0.000 0.000 9.013
Tc 2.160 0.000 2.987
Tc 2.160 0.000 7.509
Tc 2.160 0.000 12.103
```

ΔE to the lowest computed polymorph: 39.3 meV per atom
E_tot: -62.9 eV per cell
Formation energy from raw total energies: -0.143 eV/atom

=====

11.
This record from Alexandria describes a relaxed structure of SiTc. The functional is PBEsol.

The structure in extended XYZ format:
```
4
Lattice="3.087 0.000 0.000 0.000 3.087 0.000 0.000 0.000 5.476" Properties=species:S:1:pos:R:3 pbc="T T T"
Si 0.772 0.772 0.707
Si 2.315 2.315 4.769
Tc 0.772 0.772 3.646
Tc 2.315 2.315 1.830
```

ΔE to the lowest computed polymorph: 55.1 meV per atom
E_tot: -36.2 eV per cell
Formation energy from raw total energies: -0.533 eV/atom

=====

12.
This record from Alexandria describes a relaxed structure of Si3Tc4. The functional is PBEsol.

The structure in extended XYZ format:
```
7
Lattice="-1.508 1.508 10.029 1.508 -1.508 10.029 1.508 1.508 -10.029" Properties=species:S:1:pos:R:3 pbc="T T T"
Si 0.000 0.000 0.000
Si 0.000 0.000 5.719
Si 0.000 0.000 14.339
Tc 0.000 0.000 3.145
Tc 0.000 0.000 8.638
Tc 0.000 0.000 11.420
Tc 0.000 0.000 16.913
```

E_tot: -65.4 eV per cell
Formation energy from raw total energies: -0.447 eV/atom

=====

13.
This record from Alexandria describes a relaxed structure of SiTc. The functional is PBEsol.

The structure in extended XYZ format:
```
4
Lattice="1.422 0.821 7.796 -1.422 0.821 7.796 0.000 -1.642 7.796" Properties=species:S:1:pos:R:3 pbc="T T T"
Si 0.000 0.000 2.898
Si 0.000 0.000 20.490
Tc 0.000 0.000 8.828
Tc 0.000 0.000 14.560
```

ΔE to the lowest computed polymorph: 423.5 meV per atom
E_tot: -34.7 eV per cell
Formation energy from raw total energies: -0.164 eV/atom

=====

14.
This record from Alexandria describes a relaxed structure of SiTc2. The functional is PBEsol.

The structure in extended XYZ format:
```
3
Lattice="-1.451 1.451 4.643 1.451 -1.451 4.643 1.451 1.451 -4.643" Properties=species:S:1:pos:R:3 pbc="T T T"
Si 0.000 0.000 0.000
Tc 0.000 0.000 3.168
Tc 0.000 0.000 6.117
```

ΔE to the lowest computed polymorph: 0.0 meV per atom
E_tot: -29.7 eV per cell
Formation energy from raw total energies: -0.464 eV/atom

=====

15.
This record from Alexandria describes a relaxed structure of SiTc2. The functional is PBEsol.

The structure in extended XYZ format:
```
6
Lattice="0.000 3.545 3.545 3.545 0.000 3.545 3.545 3.545 0.000" Properties=species:S:1:pos:R:3 pbc="T T T"
Si 0.886 0.886 0.886
Si 6.204 6.204 6.204
Tc 3.545 1.772 1.772
Tc 1.772 3.545 1.772
Tc 1.772 1.772 3.545
Tc 3.545 3.545 3.545
```

ΔE to the lowest computed polymorph: 940.3 meV per atom
E_tot: -53.7 eV per cell
Formation energy from raw total energies: 0.477 eV/atom

=====

16.
This record from Alexandria describes a relaxed structure of SiTc. The functional is PBEsol.

The structure in extended XYZ format:
```
4
Lattice="1.526 -4.331 0.000 1.526 4.331 0.000 0.000 0.000 3.977" Properties=species:S:1:pos:R:3 pbc="T T T"
Si 1.526 3.558 2.982
Si 1.526 -3.558 0.994
Tc 1.526 1.158 2.982
Tc 1.526 -1.158 0.994
```

ΔE to the lowest computed polymorph: 72.8 meV per atom
E_tot: -36.1 eV per cell
Formation energy from raw total energies: -0.515 eV/atom

=====

17.
This record from Alexandria describes a relaxed structure of SiTc2. The functional is PBEsol.

The structure in extended XYZ format:
```
6
Lattice="-2.903 2.903 2.363 2.903 -2.903 2.363 2.903 2.903 -2.363" Properties=species:S:1:pos:R:3 pbc="T T T"
Si 0.000 0.000 1.182
Si 0.000 0.000 3.545
Tc 3.775 0.872 0.000
Tc 0.872 2.031 0.000
Tc 2.031 0.872 2.363
Tc -0.872 2.031 2.363
```

ΔE to the lowest computed polymorph: 99.2 meV per atom
E_tot: -58.7 eV per cell
Formation energy from raw total energies: -0.364 eV/atom

=====

18.
This record from Alexandria describes a relaxed structure of SiTc2. The functional is PBEsol.

The structure in extended XYZ format:
```
6
Lattice="4.530 -1.445 0.000 4.530 1.445 0.000 -0.983 0.000 6.224" Properties=species:S:1:pos:R:3 pbc="T T T"
Si 0.000 0.000 0.000
Si 6.307 0.000 2.471
Tc 0.031 0.000 3.899
Tc 2.445 0.000 4.443
Tc 3.804 0.000 1.851
Tc 6.530 0.000 0.020
```

ΔE to the lowest computed polymorph: 129.7 meV per atom
E_tot: -58.6 eV per cell
Formation energy from raw total energies: -0.334 eV/atom

=====

19.
This record from Alexandria describes a relaxed structure of SiTc2. The functional is PBEsol.

The structure in extended XYZ format:
```
6
Lattice="4.499 -1.435 0.000 4.499 1.435 0.000 -2.217 0.000 6.177" Properties=species:S:1:pos:R:3 pbc="T T T"
Si -0.418 0.000 1.791
Si 7.200 0.000 4.386
Tc 2.080 0.000 2.302
Tc 1.056 0.000 5.945
Tc 5.725 0.000 0.233
Tc 4.701 0.000 3.876
```

ΔE to the lowest computed polymorph: 69.1 meV per atom
E_tot: -58.9 eV per cell
Formation energy from raw total energies: -0.395 eV/atom

=====

20.
This record from Alexandria describes a relaxed structure of SiTc4. The functional is PBEsol.

The structure in extended XYZ format:
```
5
Lattice="0.000 2.259 10.480 1.455 0.000 10.480 1.455 2.259 0.000" Properties=species:S:1:pos:R:3 pbc="T T T"
Si 0.000 0.000 0.000
Tc 1.455 2.259 4.141
Tc 1.455 2.259 8.522
Tc 1.455 2.259 12.438
Tc 1.455 2.259 16.819
```

E_tot: -50.3 eV per cell
Formation energy from raw total energies: 0.109 eV/atom